No. 1
A geometry-optimized Sr2Cd6Sn structure, computed with GGA-PBE.

Calculated values
crystal system: monoclinic
M_tot: 0.00 μB/f.u.
DFT formation energy: -252 kJ/mol of formula units

POSCAR file:
```
Sr2Cd6Sn
1.0
6.595 -0.259 0.373
0.043 5.723 3.227
-0.367 0.087 6.559
Cd Sr Sn
6 2 1
Direct
0.341 0.819 0.819
0.659 0.181 0.181
0.660 0.180 0.640
0.340 0.360 0.820
0.660 0.640 0.180
0.340 0.820 0.360
0.852 0.667 0.667
0.148 0.333 0.333
0.000 0.000 0.000
```

***

No. 2
A geometry-optimized SrCd2Sn2 structure, computed with GGA-PBE.

Calculated values
crystal system: tetragonal
M_tot: 0.00 μB/f.u.
DFT formation energy: -102 kJ/mol of formula units

POSCAR file:
```
SrCd2Sn2
1.0
-3.469 4.791 -6.266
-7.033 -4.979 0.086
-1.561 2.250 2.585
Sn Cd Sr
4 4 2
Direct
0.677 0.823 0.500
0.323 0.177 0.500
0.177 0.677 0.500
0.823 0.323 0.500
0.121 0.379 0.000
0.879 0.621 0.000
0.379 0.879 0.000
0.621 0.121 0.000
0.500 0.500 0.000
0.000 0.000 0.000
```

***

No. 3
A geometry-optimized SrCd2Sn2 structure, computed with GGA-PBE.

Calculated values
crystal system: tetragonal
M_tot: 0.00 μB/f.u.
DFT formation energy: -76 kJ/mol of formula units

POSCAR file:
```
SrCd2Sn2
1.0
-8.223 2.357 -0.604
-1.961 -5.157 6.565
0.661 2.952 2.516
Sr Sn Cd
2 4 4
Direct
0.500 0.500 0.000
0.000 0.000 0.000
0.871 0.629 0.000
0.371 0.871 0.000
0.629 0.129 0.000
0.129 0.371 0.000
0.662 0.838 0.500
0.162 0.662 0.500
0.338 0.162 0.500
0.838 0.338 0.500
```

***

No. 4
A geometry-optimized Sr3Cd8Sn3 structure, computed with GGA-PBE.

Calculated values
crystal system: orthorhombic
M_tot: 0.00 μB/f.u.
DFT formation energy: -411 kJ/mol of formula units

POSCAR file:
```
Sr3Cd8Sn3
1.0
4.868 0.000 0.000
2.434 9.045 -0.217
2.434 2.254 8.762
Cd Sr Sn
8 3 3
Direct
0.643 0.628 0.086
0.166 0.207 0.461
0.357 0.914 0.372
0.834 0.793 0.539
0.166 0.461 0.207
0.357 0.372 0.914
0.834 0.539 0.793
0.643 0.086 0.628
0.187 0.813 0.813
0.813 0.187 0.187
0.500 0.500 0.500
0.000 0.791 0.209
0.000 0.209 0.791
0.500 0.000 0.000
```

***

No. 5
A geometry-optimized SrTbCdSn structure, computed with GGA-PBE.

Calculated values
crystal system: cubic
M_tot: 0.00 μB/f.u.
DFT formation energy: -171 kJ/mol of formula units

POSCAR file:
```
SrTbCdSn
1.0
-2.414 -4.942 0.048
2.334 -4.175 2.715
-2.292 -1.896 4.626
Cd Sn Tb Sr
1 1 1 1
Direct
0.250 0.250 0.250
0.750 0.750 0.750
0.500 0.500 0.500
0.000 0.000 0.000
```

***

No. 6
A geometry-optimized SrThCdSn structure, computed with GGA-PBE.

Calculated values
crystal system: cubic
M_tot: 0.00 μB/f.u.
DFT formation energy: -104 kJ/mol of formula units

POSCAR file:
```
SrThCdSn
1.0
-3.026 2.899 3.639
-5.097 -1.720 1.365
-0.972 -2.056 5.062
Sr Sn Cd Th
1 1 1 1
Direct
0.000 0.000 0.000
0.250 0.250 0.250
0.750 0.750 0.750
0.500 0.500 0.500
```

***

No. 7
A geometry-optimized SrTi2CdSn structure, computed with GGA-PBE.

Calculated values
crystal system: tetragonal
M_tot: 3.99 μB/f.u.
DFT formation energy: 284 kJ/mol of formula units

POSCAR file:
```
SrTi2CdSn
1.0
-1.233 5.134 0.414
-4.091 -1.261 3.449
3.316 0.465 4.103
Cd Ti Sn Sr
1 2 1 1
Direct
0.000 0.500 0.000
0.000 0.000 0.500
0.500 0.000 0.000
0.000 0.000 0.000
0.500 0.500 0.500
```

***

No. 8
A geometry-optimized Sr2TlCd3Sn4 structure, computed with GGA-PBE.

Calculated values
crystal system: tetragonal
M_tot: 0.00 μB/f.u.
DFT formation energy: -264 kJ/mol of formula units

POSCAR file:
```
Sr2TlCd3Sn4
1.0
-1.170 -3.497 -3.318
0.700 -3.502 3.444
-11.755 0.847 3.251
Sn Sr Cd Tl
4 2 3 1
Direct
0.500 0.000 0.639
0.500 0.500 0.000
0.000 0.000 0.000
0.000 0.500 0.361
0.000 0.500 0.756
0.500 0.000 0.244
0.500 0.000 0.866
0.000 0.500 0.134
0.000 0.000 0.500
0.500 0.500 0.500
```

***

> M_tot of number 7 (SrTi2CdSn)?

3.99 μB/f.u.

***

> Which of these has the highest DFT formation energy?

SrTi2CdSn